## Si2SbSe (PBE-GGA)

Data for Si2SbSe after structural relaxation.

```
8
Lattice="5.418 0.000 0.000 0.000 5.418 0.000 2.709 2.709 7.186" Properties=species:S:1:pos:R:3 pbc="T T T"
Sb 0.000 0.000 0.000
Sb 5.418 2.709 3.593
Si 3.890 1.355 1.796
Si 1.529 4.064 1.796
Si 4.064 4.238 5.389
Si 6.773 6.599 5.389
Se 2.709 2.709 0.000
Se 2.709 5.418 3.593
```

Summary:
The symmetry is I-42d. The total energy comes out at -4.2218 eV per atom. Its total moment is 0.00 μB per cell. Its energy relative to the elements, uncorrected is 151 kJ/mol of formula units. The crystal system is tetragonal.